No. 1
Computed, not measured: a geometry-optimized Ba2Cd3InAu2 structure at the PBE-GGA level of DFT.

Output
- calculated total energy (eV per cell) = -19.65
- crystal system = monoclinic

```
Ba2Cd3InAu2
1.0
5.555 -2.388 0.000
5.555 2.388 0.000
-0.007 0.000 8.285
Cd Ba In Au
3 2 1 2
direct
0.643 0.643 0.555
0.359 0.359 0.060
0.357 0.357 0.443
0.933 0.933 0.745
0.067 0.067 0.251
0.646 0.646 0.943
0.777 0.777 0.249
0.220 0.220 0.753
```

No. 2
Computed, not measured: a geometry-optimized BaLuCdAu structure at the PBE-GGA level of DFT.

Output
- calculated total energy (eV per cell) = -11.29
- total moment (Bohr magnetons per cell) = 0.0
- crystal system = cubic

```
BaLuCdAu
1.0
1.301 -1.483 4.876
-2.925 -3.563 2.534
1.899 -4.829 0.862
Au Cd Ba Lu
1 1 1 1
direct
0.750 0.750 0.750
0.000 0.000 0.000
0.250 0.250 0.250
0.500 0.500 0.500
```

No. 3
Computed, not measured: a geometry-optimized BaLuCdAu structure at the PBE-GGA level of DFT.

Output
- calculated total energy (eV per cell) = -11.95
- total moment (Bohr magnetons per cell) = 0.0
- crystal system = cubic

```
BaLuCdAu
1.0
2.499 -4.605 1.521
-2.872 -4.604 0.565
0.636 -4.068 -3.578
Au Ba Lu Cd
1 1 1 1
direct
0.750 0.750 0.750
0.000 0.000 0.000
0.500 0.500 0.500
0.250 0.250 0.250
```

No. 4
Computed, not measured: a geometry-optimized BaLuCdAu structure at the PBE-GGA level of DFT.

Output
- calculated total energy (eV per cell) = -11.09
- total moment (Bohr magnetons per cell) = 0.0
- crystal system = cubic

```
BaLuCdAu
1.0
1.455 1.729 4.791
-3.393 -0.277 4.059
0.839 -3.460 3.923
Au Ba Lu Cd
1 1 1 1
direct
0.750 0.750 0.750
0.500 0.500 0.500
0.250 0.250 0.250
0.000 0.000 0.000
```

No. 5
Computed, not measured: a geometry-optimized BaNdCd2Au4 structure at the PBE-GGA level of DFT.

Output
- calculated total energy (eV per cell) = -25.92
- total moment (Bohr magnetons per cell) = 0.0
- crystal system = tetragonal

```
BaNdCd2Au4
1.0
-1.338 1.941 -4.630
-2.372 -4.468 -1.188
-6.245 2.551 2.874
Au Nd Cd Ba
4 1 2 1
direct
0.500 0.000 0.224
0.000 0.500 0.776
0.500 0.000 0.776
0.000 0.500 0.224
0.500 0.500 0.000
0.500 0.500 0.500
0.000 0.000 0.000
0.000 0.000 0.500
```

No. 6
Computed, not measured: a geometry-optimized BaCdPbAu2 structure at the PBE-GGA level of DFT.

Output
- calculated total energy (eV per cell) = -15.46
- crystal system = tetragonal

```
BaCdPbAu2
1.0
4.098 -3.486 4.681
-1.097 -0.038 7.046
-3.434 -0.935 -6.179
Cd Au Ba Pb
1 2 1 1
direct
0.250 0.750 0.500
0.390 0.390 0.000
0.610 0.610 0.000
0.000 0.000 0.000
0.750 0.250 0.500
```

No. 7
Computed, not measured: a geometry-optimized Ba2CdSn2Au structure at the PBE-GGA level of DFT.

Output
- calculated total energy (eV per cell) = -19.73
- crystal system = hexagonal

```
Ba2CdSn2Au
1.0
-3.257 0.423 -3.582
-1.273 -2.069 4.209
-2.744 8.904 3.546
Au Ba Cd Sn
1 2 1 2
direct
0.333 0.667 0.000
0.667 0.333 0.761
0.667 0.333 0.239
0.000 0.000 0.500
0.000 0.000 0.000
0.333 0.667 0.500
```

No. 8
Computed, not measured: a geometry-optimized BaTbCd2Au4 structure at the PBE-GGA level of DFT.

Output
- calculated total energy (eV per cell) = -25.84
- total moment (Bohr magnetons per cell) = 0.0
- crystal system = tetragonal

```
BaTbCd2Au4
1.0
-5.101 0.612 -0.122
-0.485 -3.257 3.945
0.557 5.577 4.672
Au Tb Cd Ba
4 1 2 1
direct
0.500 0.000 0.717
0.500 0.000 0.283
0.000 0.500 0.717
0.000 0.500 0.283
0.500 0.500 0.500
0.000 0.000 0.500
0.500 0.500 0.000
0.000 0.000 0.000
```

No. 9
Computed, not measured: a geometry-optimized BaTlCdAu structure at the PBE-GGA level of DFT.

Output
- calculated total energy (eV per cell) = -9.40
- crystal system = cubic

```
BaTlCdAu
1.0
0.000 3.823 3.823
3.823 0.000 3.823
3.823 3.823 0.000
Ba Tl Cd Au
1 1 1 1
direct
0.250 0.250 0.250
0.500 0.500 0.500
0.000 0.000 0.000
0.750 0.750 0.750
```

No. 10
Computed, not measured: a geometry-optimized BaTlCdAu structure at the PBE-GGA level of DFT.

Output
- calculated total energy (eV per cell) = -9.69
- crystal system = cubic

```
BaTlCdAu
1.0
0.000 3.861 3.861
3.861 0.000 3.861
3.861 3.861 0.000
Au Cd Ba Tl
1 1 1 1
direct
0.750 0.750 0.750
0.000 0.000 0.000
0.500 0.500 0.500
0.250 0.250 0.250
```

No. 11
Computed, not measured: a geometry-optimized BaTlCdAu structure at the PBE-GGA level of DFT.

Output
- calculated total energy (eV per cell) = -9.76
- crystal system = cubic

```
BaTlCdAu
1.0
0.000 3.886 3.886
3.886 0.000 3.886
3.886 3.886 0.000
Au Ba Tl Cd
1 1 1 1
direct
0.750 0.750 0.750
0.000 0.000 0.000
0.500 0.500 0.500
0.250 0.250 0.250
```

No. 12
Computed, not measured: a geometry-optimized BaYCd2Au4 structure at the PBE-GGA level of DFT.

Output
- calculated total energy (eV per cell) = -27.65
- total moment (Bohr magnetons per cell) = 0.0
- crystal system = tetragonal

```
BaYCd2Au4
1.0
-1.500 4.887 -0.475
-4.910 -1.493 0.148
0.004 0.706 7.256
Au Cd Y Ba
4 2 1 1
direct
0.000 0.500 0.283
0.000 0.500 0.717
0.500 0.000 0.717
0.500 0.000 0.283
0.500 0.500 0.000
0.000 0.000 0.500
0.500 0.500 0.500
0.000 0.000 0.000
```